Entry 1:
Li4V3Fe2O10 at its PBEsol-relaxed geometry. Source: Alexandria via LeMat-Bulk, functional meta-GGA SCAN.

Properties
M_tot   11.45 μB/f.u.
Energy relative to the elements, uncorrected   -2239 meV per atom
Space group   P1, No. 1

Structure (POSCAR):
```
Li4V3Fe2O10
1.0
4.911 0.000 0.000
0.869 4.873 0.000
2.199 1.887 7.185
Li V Fe O
4 3 2 10
Direct
0.000 0.000 0.000
0.119 0.497 0.276
0.322 0.497 0.890
0.715 0.473 0.087
0.159 0.980 0.610
0.522 0.470 0.505
0.811 0.977 0.413
0.410 0.984 0.182
0.584 0.968 0.836
0.020 0.191 0.195
0.167 0.734 0.456
0.290 0.224 0.726
0.349 0.724 0.053
0.443 0.213 0.374
0.538 0.757 0.636
0.637 0.221 0.968
0.736 0.723 0.277
0.854 0.245 0.554
0.971 0.776 0.825
```

***

Entry 2:
Li5V3Fe2O10 at its PBEsol-relaxed geometry. Source: Alexandria via LeMat-Bulk, functional meta-GGA SCAN.

Properties
M_tot   9.91 μB/f.u.
Energy relative to the elements, uncorrected   -2256 meV per atom
Space group   P-1, No. 2

Structure (POSCAR):
```
Li5V3Fe2O10
1.0
4.903 0.000 0.000
0.876 4.946 0.000
2.426 2.075 7.083
Li V Fe O
5 3 2 10
Direct
0.000 0.000 0.000
0.109 0.520 0.274
0.296 0.509 0.912
0.704 0.491 0.088
0.891 0.480 0.726
0.171 0.998 0.596
0.500 0.500 0.500
0.829 0.002 0.404
0.404 0.007 0.178
0.596 0.993 0.822
0.033 0.232 0.175
0.153 0.735 0.456
0.262 0.237 0.728
0.352 0.751 0.051
0.453 0.233 0.368
0.547 0.767 0.632
0.648 0.249 0.949
0.738 0.763 0.272
0.847 0.265 0.544
0.967 0.768 0.825
```

***

Entry 3:
Li2VFe3O8 at its PBEsol-relaxed geometry. Source: Alexandria via LeMat-Bulk, functional meta-GGA SCAN.

Properties
M_tot   3.00 μB/f.u.
Energy relative to the elements, uncorrected   -1992 meV per atom
Excess energy over the best structure of this formula in the dataset   0.000 eV per atom
Space group   R-3m, No. 166

Structure (POSCAR):
```
Li2VFe3O8
1.0
2.850 1.646 4.522
-2.850 1.646 4.522
0.000 -3.291 4.522
Li V Fe O
2 1 3 8
Direct
0.123 0.123 0.123
0.877 0.877 0.877
0.500 0.500 0.500
0.000 0.500 0.500
0.500 0.000 0.500
0.500 0.500 0.000
0.260 0.260 0.717
0.260 0.717 0.260
0.264 0.264 0.264
0.283 0.740 0.740
0.717 0.260 0.260
0.736 0.736 0.736
0.740 0.283 0.740
0.740 0.740 0.283
```